# 1
NaAgSe3: relaxed, GGA-PBE.

Calculated values
The space group is P2_1/c, No. 14. As for the total magnetization: 0.00 μB/cell. For the energy, the calculation gives -3.224 eV per atom. Its formation energy without anion corrections is -0.2993 eV/atom. The relative energy among the computed polymorphs comes out at 0.000 eV per atom.

Unit cell a=5.356 b=7.798 c=12.756 alpha=90.00 beta=105.81 gamma=90.00
Sites, in units of the cell vectors:
Na (0.215, 0.164, 0.012)
Na (0.215, 0.336, 0.512)
Na (0.785, 0.664, 0.488)
Na (0.785, 0.836, 0.988)
Ag (0.321, 0.542, 0.825)
Ag (0.321, 0.958, 0.325)
Ag (0.679, 0.042, 0.675)
Ag (0.679, 0.458, 0.175)
Se (0.100, 0.604, 0.312)
Se (0.100, 0.896, 0.812)
Se (0.225, 0.544, 0.016)
Se (0.225, 0.956, 0.516)
Se (0.456, 0.087, 0.830)
Se (0.456, 0.413, 0.330)
Se (0.544, 0.587, 0.670)
Se (0.544, 0.913, 0.170)
Se (0.775, 0.044, 0.484)
Se (0.775, 0.456, 0.984)
Se (0.900, 0.104, 0.188)
Se (0.900, 0.396, 0.688)

=====

# 2
CaTc2As: relaxed, GGA-PBE.

Calculated values
The space group is Imm2, No. 44. As for the total magnetization: 0.00 μB/cell. For the energy, the calculation gives -6.563 eV per atom. The calculation puts the formation energy at 109 kJ/mol of formula units.

Unit cell a=5.463 b=5.463 c=5.463 alpha=146.20 beta=130.87 gamma=60.96
Sites, in units of the cell vectors:
Ca (0.000, 0.000, 0.000)
Tc (0.270, 0.770, 0.500)
Tc (0.506, 0.506, 0.000)
As (0.723, 0.223, 0.500)

=====

# 3
NaHfBPd2: relaxed, GGA-PBE.

Calculated values
The space group is P4/mmm, No. 123. As for the total magnetization: 0.00 μB/cell. For the energy, the calculation gives -4.912 eV per atom. The calculation puts the formation energy at 364 kJ/mol of formula units.

Unit cell a=4.997 b=4.997 c=4.625 alpha=90.00 beta=90.00 gamma=90.00
Sites, in units of the cell vectors:
Na (0.000, 0.000, 0.000)
Hf (0.500, 0.500, 0.500)
B (0.500, 0.500, 0.000)
Pd (0.000, 0.500, 0.500)
Pd (0.500, 0.000, 0.500)

=====

# 4
Ga2Ni2Hg: relaxed, GGA-PBE.

Calculated values
The space group is I4/mmm, No. 139. As for the total magnetization: 0.00 μB/cell. For the energy, the calculation gives -3.648 eV per atom. The relative energy among the computed polymorphs comes out at 0.096 eV per atom. The calculation puts the formation energy at -31 kJ/mol of formula units.

Unit cell a=6.291 b=6.291 c=6.291 alpha=145.93 beta=145.93 gamma=48.95
Sites, in units of the cell vectors:
Ga (0.250, 0.750, 0.500)
Ga (0.750, 0.250, 0.500)
Ni (0.106, 0.106, 0.000)
Ni (0.894, 0.894, 0.000)
Hg (0.500, 0.500, 0.000)

=====

# 5
MgUPtO6: relaxed, GGA-PBE.

Calculated values
The space group is P-31c, No. 163. As for the total magnetization: 0.00 μB/cell. For the energy, the calculation gives -7.517 eV per atom. Its formation energy without anion corrections is -2.1091 eV/atom.

Unit cell a=5.256 b=5.256 c=9.392 alpha=90.00 beta=90.00 gamma=120.00
Sites, in units of the cell vectors:
Mg (0.000, 0.000, 0.000)
Mg (0.000, 0.000, 0.500)
U (0.333, 0.667, 0.250)
U (0.667, 0.333, 0.750)
Pt (0.333, 0.667, 0.750)
Pt (0.667, 0.333, 0.250)
O (0.009, 0.342, 0.630)
O (0.009, 0.667, 0.870)
O (0.333, 0.342, 0.870)
O (0.333, 0.991, 0.630)
O (0.342, 0.009, 0.130)
O (0.342, 0.333, 0.370)
O (0.658, 0.667, 0.630)
O (0.658, 0.991, 0.870)
O (0.667, 0.009, 0.370)
O (0.667, 0.658, 0.130)
O (0.991, 0.333, 0.130)
O (0.991, 0.658, 0.370)

=====

# 6
BaPd: relaxed, GGA-PBE.

Calculated values
The space group is P2_12_12_1, No. 19. As for the total magnetization: 0.00 μB/cell. For the energy, the calculation gives -3.994 eV per atom. The calculation puts the formation energy at -84 kJ/mol of formula units.

Unit cell a=6.799 b=8.202 c=9.376 alpha=90.00 beta=90.00 gamma=90.00
Sites, in units of the cell vectors:
Ba (0.112, 0.107, 0.029)
Ba (0.145, 0.646, 0.872)
Ba (0.355, 0.354, 0.372)
Ba (0.388, 0.893, 0.529)
Ba (0.612, 0.393, 0.971)
Ba (0.645, 0.854, 0.128)
Ba (0.855, 0.146, 0.628)
Ba (0.888, 0.607, 0.471)
Pd (0.009, 0.460, 0.157)
Pd (0.221, 0.732, 0.214)
Pd (0.279, 0.268, 0.714)
Pd (0.491, 0.540, 0.657)
Pd (0.509, 0.040, 0.843)
Pd (0.721, 0.768, 0.786)
Pd (0.779, 0.232, 0.286)
Pd (0.991, 0.960, 0.343)

=====

# 7
NaSb2Cl6: relaxed, GGA-PBE.

Calculated values
The space group is C2/c, No. 15. As for the total magnetization: 2.06 μB/cell. For the energy, the calculation gives -3.170 eV per atom. Its formation energy without anion corrections is -0.8758 eV/atom.

Unit cell a=9.644 b=9.644 c=7.210 alpha=95.61 beta=95.61 gamma=107.58
Sites, in units of the cell vectors:
Na (0.071, 0.929, 0.750)
Na (0.929, 0.071, 0.250)
Sb (0.160, 0.462, 0.808)
Sb (0.462, 0.160, 0.308)
Sb (0.538, 0.840, 0.692)
Sb (0.840, 0.538, 0.192)
Cl (0.030, 0.655, 0.882)
Cl (0.088, 0.201, 0.620)
Cl (0.201, 0.088, 0.120)
Cl (0.252, 0.564, 0.533)
Cl (0.345, 0.970, 0.618)
Cl (0.436, 0.748, 0.967)
Cl (0.564, 0.252, 0.033)
Cl (0.655, 0.030, 0.382)
Cl (0.748, 0.436, 0.467)
Cl (0.799, 0.912, 0.880)
Cl (0.912, 0.799, 0.380)
Cl (0.970, 0.345, 0.118)

=====

# 8
CsLi3I: relaxed, GGA-PBE.

Calculated values
The space group is Pm-3m, No. 221. As for the total magnetization: 0.00 μB/cell. For the energy, the calculation gives -1.735 eV per atom. Its formation energy without anion corrections is -0.1056 eV/atom. The relative energy among the computed polymorphs comes out at 0.000 eV per atom.

Unit cell a=5.963 b=5.963 c=5.963 alpha=90.00 beta=90.00 gamma=90.00
Sites, in units of the cell vectors:
Cs (0.000, 0.000, 0.000)
Li (0.000, 0.500, 0.500)
Li (0.500, 0.000, 0.500)
Li (0.500, 0.500, 0.000)
I (0.500, 0.500, 0.500)

=====

# 9
OsBrCl2: relaxed, GGA-PBE.

Calculated values
The space group is I4/mmm, No. 139. As for the total magnetization: 4.21 μB/cell. For the energy, the calculation gives -2.825 eV per atom. Its formation energy without anion corrections is 1.3242 eV/atom. The relative energy among the computed polymorphs comes out at 1.414 eV per atom.

Unit cell a=5.105 b=5.105 c=5.105 alpha=127.08 beta=127.08 gamma=78.11
Sites, in units of the cell vectors:
Os (0.000, 0.000, 0.000)
Br (0.500, 0.500, 0.000)
Cl (0.250, 0.750, 0.500)
Cl (0.750, 0.250, 0.500)

=====

# 10
RbInAsSe2: relaxed, GGA-PBE.

Calculated values
The space group is P4/mmm, No. 123. As for the total magnetization: 5.04 μB/cell. For the energy, the calculation gives -2.157 eV per atom. Its formation energy without anion corrections is 0.9080 eV/atom. The relative energy among the computed polymorphs comes out at 0.971 eV per atom.

Unit cell a=6.469 b=6.469 c=6.430 alpha=90.00 beta=90.00 gamma=90.00
Sites, in units of the cell vectors:
Rb (0.000, 0.000, 0.000)
In (0.500, 0.500, 0.500)
As (0.000, 0.000, 0.500)
Se (0.000, 0.500, 0.000)
Se (0.500, 0.000, 0.000)

=====

# 11
SrPm4SmSe8: relaxed, GGA-PBE.

Calculated values
The space group is R3m, No. 160. As for the total magnetization: 0.00 μB/cell. For the energy, the calculation gives -5.611 eV per atom. Its formation energy without anion corrections is -1.8056 eV/atom.

Unit cell a=8.711 b=8.711 c=8.711 alpha=60.07 beta=60.07 gamma=60.07
Sites, in units of the cell vectors:
Sr (0.000, 0.000, 0.000)
Pm (0.120, 0.627, 0.627)
Pm (0.250, 0.250, 0.250)
Pm (0.627, 0.120, 0.627)
Pm (0.627, 0.627, 0.120)
Sm (0.627, 0.627, 0.627)
Se (0.383, 0.383, 0.383)
Se (0.384, 0.384, 0.851)
Se (0.384, 0.851, 0.384)
Se (0.412, 0.862, 0.862)
Se (0.851, 0.384, 0.384)
Se (0.862, 0.412, 0.862)
Se (0.862, 0.862, 0.412)
Se (0.863, 0.863, 0.863)

=====

# 12
CsCaCd2Pt: relaxed, GGA-PBE.

Calculated values
The space group is P4/mmm, No. 123. As for the total magnetization: 0.00 μB/cell. For the energy, the calculation gives -2.436 eV per atom. The calculation puts the formation energy at -140 kJ/mol of formula units.

Unit cell a=5.492 b=5.492 c=5.475 alpha=90.00 beta=90.00 gamma=90.00
Sites, in units of the cell vectors:
Cs (0.000, 0.000, 0.000)
Ca (0.500, 0.500, 0.000)
Cd (0.000, 0.500, 0.500)
Cd (0.500, 0.000, 0.500)
Pt (0.500, 0.500, 0.500)

=====

Question: energy of number 2 (CaTc2As)?
Answer: -6.563 eV per atom